Entry 1:
The following is a DFT calculation (PBE) of a relaxed Sm5Zn2Cd2 crystal.

Cell lengths 7.5957, 7.4660, 9.6068 Å; angles 112.87, 90.00, 90.00 degrees
Last column: nearest neighbours and their distance in Å.
Fractional positions:
Sm: 0.0000 0.0000 0.0000  4 Zn 3.01-3.02
Sm: 0.5000 0.5000 0.0000  4 Zn 3.01-3.02
Sm: 0.8171 0.8194 0.2638  3 Zn 3.14-3.32, 3 Cd 3.19-3.25
Sm: 0.1829 0.4444 0.2638  3 Zn 3.14-3.32, 3 Cd 3.19-3.25
Sm: 0.3171 0.9444 0.2638  3 Zn 3.14-3.32, 3 Cd 3.19-3.25
Sm: 0.6829 0.3194 0.2638  3 Zn 3.14-3.32, 3 Cd 3.19-3.25
Sm: 0.1829 0.1806 0.7362  3 Zn 3.14-3.32, 3 Cd 3.19-3.25
Sm: 0.8171 0.5556 0.7362  3 Zn 3.14-3.32, 3 Cd 3.19-3.25
Sm: 0.6829 0.0556 0.7362  3 Zn 3.14-3.32, 3 Cd 3.19-3.25
Sm: 0.3171 0.6806 0.7362  3 Zn 3.14-3.32, 3 Cd 3.19-3.25
Zn: 0.6203 0.8849 0.0000  1 Zn 2.51
Zn: 0.3797 0.1151 0.0000  1 Zn 2.51
Zn: 0.1203 0.6151 0.0000  1 Zn 2.51
Zn: 0.8797 0.3849 0.0000  1 Zn 2.51
Cd: 0.0000 0.2266 0.4533  6 Sm 3.19-3.25
Cd: 0.5000 0.7266 0.4533  6 Sm 3.19-3.25
Cd: 0.0000 0.7734 0.5467  6 Sm 3.19-3.25
Cd: 0.5000 0.2734 0.5467  6 Sm 3.19-3.25

## Properties
calculated total energy: -3.313 eV per atom
energy relative to the elements: -0.205 eV per atom

---

Entry 2:
The following is a DFT calculation (PBE) of a relaxed SmZnCd4 crystal.

Cell lengths 5.0146, 7.1068, 9.1172 Å; angles 112.94, 106.07, 90.00 degrees
Last column: nearest neighbours and their distance in Å.
Fractional positions:
Sm: 0.2048 0.2047 0.4093  12 Cd 3.23-3.60
Sm: 0.7952 0.7953 0.5907  12 Cd 3.23-3.60
Zn: 0.7363 0.4997 0.9994  2 Zn 2.37-2.64, 2 Cd 2.61
Zn: 0.2637 0.5003 0.0006  2 Zn 2.37-2.64, 2 Cd 2.61
Cd: 0.8334 0.3322 0.6645  2 Zn 2.99, 2 Sm 3.23-3.24, 4 Cd 3.24
Cd: 0.6218 0.3521 0.2446  2 Zn 2.98-2.99, 5 Cd 3.19-3.27, 2 Sm 3.27
Cd: 0.0000 0.1830 0.0000  1 Cd 2.60, 2 Zn 2.61
Cd: 0.3782 0.1074 0.7554  2 Zn 2.98-2.99, 5 Cd 3.19-3.27, 2 Sm 3.27
Cd: 0.1666 0.6678 0.3355  2 Zn 2.99, 2 Sm 3.23-3.24, 4 Cd 3.24
Cd: 0.3782 0.6479 0.7554  2 Zn 2.98-2.99, 5 Cd 3.19-3.27, 2 Sm 3.27
Cd: 0.0000 0.8170 0.0000  1 Cd 2.60, 2 Zn 2.61
Cd: 0.6218 0.8926 0.2446  2 Zn 2.98-2.99, 5 Cd 3.19-3.27, 2 Sm 3.27

## Properties
calculated total energy: -1.727 eV per atom
energy relative to the elements: -0.119 eV per atom

---

Entry 3:
The following is a DFT calculation (PBE) of a relaxed SmZn2Cd crystal.

Cell lengths 4.2709, 4.5459, 4.5459 Å; angles 90.00, 90.00, 90.00 degrees
Last column: nearest neighbours and their distance in Å.
Fractional positions:
Zn: 0.0000 0.0000 0.5000  4 Sm 3.12, 4 Cd 3.12, 4 Zn 3.21
Zn: 0.0000 0.5000 0.0000  4 Cd 3.12, 4 Sm 3.12, 4 Zn 3.21
Sm: 0.5000 0.5000 0.5000  8 Zn 3.12, 4 Cd 3.21
Cd: 0.5000 0.0000 0.0000  8 Zn 3.12, 4 Sm 3.21

## Properties
calculated total energy: -2.236 eV per atom
energy relative to the elements: -0.191 eV per atom
polymorph energy (0 for the lowest one): 12.4 kJ per mole of atoms

---

Entry 4:
The following is a DFT calculation (PBE) of a relaxed SmZnCd3 crystal.

Cell lengths 4.3268, 4.3268, 6.9384 Å; angles 107.98, 107.98, 90.10 degrees
Last column: nearest neighbours and their distance in Å.
Fractional positions:
Sm: 0.3873 0.3873 0.7733  4 Zn 3.25-3.28, 8 Cd 3.37-3.60
Zn: 0.7932 0.7932 0.5887  5 Cd 2.58-2.76
Cd: 0.6570 0.1574 0.3146  2 Zn 2.76, 6 Cd 2.91-3.06
Cd: 0.1574 0.6570 0.3146  2 Zn 2.76, 6 Cd 2.91-3.06
Cd: 0.0021 0.0021 0.0028  1 Zn 2.58

## Properties
calculated total energy: -1.969 eV per atom
energy relative to the elements: -0.221 eV per atom
polymorph energy (0 for the lowest one): 0.3 kJ per mole of atoms

---

Entry 5:
The following is a DFT calculation (PBE) of a relaxed SmZn2Cd4 crystal.

Cell lengths 4.3959, 4.4490, 8.0784 Å; angles 105.98, 90.00, 90.00 degrees
Last column: nearest neighbours and their distance in Å.
Fractional positions:
Sm: 0.0000 0.0000 0.0000  8 Zn 3.35, 8 Cd 3.52-3.58
Zn: 0.5000 0.5765 0.1530  1 Zn 2.38
Zn: 0.5000 0.4235 0.8470  1 Zn 2.38
Cd: 0.5000 0.8234 0.6468  2 Zn 2.71
Cd: 0.0000 0.6803 0.3605  2 Zn 2.73
Cd: 0.5000 0.1766 0.3532  2 Zn 2.71
Cd: 0.0000 0.3197 0.6395  2 Zn 2.73

## Properties
calculated total energy: -1.758 eV per atom
energy relative to the elements: -0.197 eV per atom

---

Entry 6:
The following is a DFT calculation (PBE) of a relaxed Sm4ZnCd3 crystal.

Cell lengths 3.5954, 4.8939, 12.3069 Å; angles 90.00, 90.00, 90.00 degrees
Last column: nearest neighbours and their distance in Å.
Fractional positions:
Sm: 0.5000 0.5000 0.3338  1 Zn 3.22, 6 Cd 3.25-3.42, 2 Sm 3.60
Sm: 0.0000 0.5000 0.8481  5 Cd 3.21-3.42, 2 Zn 3.29, 2 Sm 3.60
Sm: 0.0000 0.0000 0.1538  4 Zn 3.20, 3 Cd 3.26-3.38
Sm: 0.5000 0.0000 0.6611  7 Cd 3.24-3.38, 2 Sm 3.60
Zn: 0.5000 0.5000 0.0721  2 Cd 2.99, 7 Sm 3.20-3.29
Cd: 0.0000 0.5000 0.5699  2 Cd 3.00, 4 Sm 3.24
Cd: 0.0000 0.0000 0.4282  2 Cd 3.00, 4 Sm 3.25
Cd: 0.5000 0.0000 0.9331  2 Zn 2.99, 6 Sm 3.21-3.26

## Properties
calculated total energy: -3.119 eV per atom
energy relative to the elements: -0.257 eV per atom
polymorph energy (0 for the lowest one): 5.8 kJ per mole of atoms